Here is a relaxed KGeO crystal from Alexandria. Energies are from GGA-PBE.

The structure in POSCAR format:
```
KGeO
1.0
-1.606 1.606 11.288
1.606 -1.606 11.288
1.606 1.606 -11.288
K Ge O
2 2 2
Cartesian
0.000 0.000 0.000
0.000 1.606 5.644
1.606 0.000 8.449
0.000 0.000 14.093
1.606 0.000 3.994
0.000 0.000 9.638
```

ΔE_f (raw) in eV per atom: -0.866
Space-group type: I4_1md
Total magnetization in μB/f.u.: 0.00